VASP calculation (GGA-PBE) on a geometry-optimized CuSe structure.

Output
As for the total magnetization: 0.000 μB/cell. The value obtained for the density of states at the Fermi level is 2.98 states/eV/cell. Its total energy is -3.79 eV per atom. The crystal system is hexagonal. Its formation energy without anion corrections is 0.00 eV per atom.

Cell lengths 6.758, 6.758, 2.864 Å; angles 90.00, 90.00, 120.00 degrees
Atoms (fractional coordinates):
Cu  0.000  0.000  0.000
Cu  0.333  0.667  0.500
Cu  0.667  0.333  0.500
Se  0.000  0.351  0.000
Se  0.351  0.000  0.000
Se  0.649  0.649  0.000

VASP calculation (GGA-PBE) on a geometry-optimized CuSe structure.

Output
As for the total magnetization: 0.000 μB/cell. The value obtained for the density of states at the Fermi level is 3.12 states/eV/cell. Its total energy is -3.88 eV per atom. The crystal system is orthorhombic. Its formation energy without anion corrections is -0.09 eV per atom.

Cell lengths 6.306, 6.306, 6.306 Å; angles 147.17, 67.08, 123.31 degrees
Atoms (fractional coordinates):
Cu  0.000  0.000  0.000
Cu  0.487  0.664  0.823
Cu  0.841  0.664  0.177
Se  0.076  0.253  0.823
Se  0.431  0.253  0.177
Se  0.709  0.209  0.500

VASP calculation (GGA-PBE) on a geometry-optimized Cu6Se7 structure.

Output
As for the total magnetization: 0.000 μB/cell. The value obtained for the density of states at the Fermi level is 8.61 states/eV/cell. Its total energy is -3.29 eV per atom. The crystal system is trigonal. Its formation energy without anion corrections is 0.48 eV per atom.

Cell lengths 8.005, 8.005, 8.005 Å; angles 48.72, 48.72, 48.72 degrees
Atoms (fractional coordinates):
Cu  0.062  0.062  0.062
Cu  0.178  0.178  0.178
Cu  0.337  0.337  0.337
Cu  0.663  0.663  0.663
Cu  0.822  0.822  0.822
Cu  0.938  0.938  0.938
Se  0.072  0.583  0.583
Se  0.417  0.417  0.928
Se  0.417  0.928  0.417
Se  0.500  0.500  0.500
Se  0.583  0.072  0.583
Se  0.583  0.583  0.072
Se  0.928  0.417  0.417

VASP calculation (GGA-PBE) on a geometry-optimized Cu5Se structure.

Output
As for the total magnetization: 0.000 μB/cell. The value obtained for the density of states at the Fermi level is 3.99 states/eV/cell. Its total energy is -3.78 eV per atom. The crystal system is cubic. Its formation energy without anion corrections is 0.21 eV per atom.

Cell lengths 4.893, 4.893, 4.893 Å; angles 60.00, 60.00, 60.00 degrees
Atoms (fractional coordinates):
Cu  0.000  0.000  0.000
Cu  0.123  0.626  0.626
Cu  0.626  0.123  0.626
Cu  0.626  0.626  0.123
Cu  0.626  0.626  0.626
Se  0.250  0.250  0.250

VASP calculation (GGA-PBE) on a geometry-optimized CuSe structure.

Output
As for the total magnetization: 0.000 μB/cell. The value obtained for the density of states at the Fermi level is 3.12 states/eV/cell. Its total energy is -3.88 eV per atom. The crystal system is trigonal. Its formation energy without anion corrections is -0.09 eV per atom.

Cell lengths 3.809, 3.809, 6.698 Å; angles 90.00, 90.00, 120.00 degrees
Atoms (fractional coordinates):
Cu  0.333  0.667  0.110
Cu  0.667  0.333  0.890
Se  0.333  0.667  0.741
Se  0.667  0.333  0.259

VASP calculation (GGA-PBE) on a geometry-optimized CuSe2 structure.

Output
As for the total magnetization: 0.000 μB/cell. The value obtained for the density of states at the Fermi level is 3.52 states/eV/cell. Its total energy is -3.69 eV per atom. The crystal system is hexagonal. Its formation energy without anion corrections is 0.00 eV per atom.

Cell lengths 3.710, 3.710, 10.771 Å; angles 90.00, 90.00, 120.00 degrees
Atoms (fractional coordinates):
Cu  0.333  0.667  0.250
Cu  0.667  0.333  0.750
Se  0.000  0.000  0.123
Se  0.000  0.000  0.377
Se  0.000  0.000  0.623
Se  0.000  0.000  0.877